This record from Alexandria describes a relaxed TcAgPd3 crystal. The functional is PBE-GGA.

```
TcAgPd3
1.0
4.775 0.000 0.000
0.000 4.775 0.000
0.000 0.000 4.775
Tc Ag Pd
1 1 3
Cartesian
0.000 0.000 0.000 Tc
2.387 2.387 2.387 Ag
0.000 0.000 2.387 Pd
0.000 2.387 0.000 Pd
2.387 0.000 0.000 Pd
```

Results
As for the formation enthalpy at 0 K: 5.59 eV/f.u. Its electronic total energy is -23.2 eV for the cell shown. Its distance to the lowest polymorph of the same formula is 0.0 meV/atom. The value obtained for the total magnetization is 0.0 μB per formula unit.